No. 1
Below is an optimized crystal structure of Pm6SiGe, with properties calculated at the GGA-PBE level.

Cell and atoms, written as POSCAR:
```
Pm6SiGe
1.0
4.761 0.000 0.000
0.000 4.761 0.000
0.000 0.000 9.533
Pm Si Ge
6 1 1
direct
0.000 0.000 0.000 Pm
0.000 0.000 0.500 Pm
0.000 0.500 0.247 Pm
0.000 0.500 0.753 Pm
0.500 0.000 0.247 Pm
0.500 0.000 0.753 Pm
0.500 0.500 0.000 Si
0.500 0.500 0.500 Ge
```

Magnetization   0.00 Bohr magnetons per cell
Energy   -5.12 eV per atom

No. 2
Below is an optimized crystal structure of Pm8SiGe6, with properties calculated at the GGA-PBE level.

Cell and atoms, written as POSCAR:
```
Pm8SiGe6
1.0
4.689 2.707 5.596
-4.689 2.707 5.596
0.000 -5.415 5.596
Pm Si Ge
8 1 6
direct
0.171 0.677 0.367 Pm
0.190 0.190 0.190 Pm
0.323 0.633 0.829 Pm
0.367 0.171 0.677 Pm
0.633 0.829 0.323 Pm
0.677 0.367 0.171 Pm
0.810 0.810 0.810 Pm
0.829 0.323 0.633 Pm
0.500 0.500 0.500 Si
0.029 0.425 0.859 Ge
0.141 0.971 0.575 Ge
0.425 0.859 0.029 Ge
0.575 0.141 0.971 Ge
0.859 0.029 0.425 Ge
0.971 0.575 0.141 Ge
```

Magnetization   0.00 Bohr magnetons per cell
Energy   -5.42 eV per atom

No. 3
Below is an optimized crystal structure of Pm4SiGe, with properties calculated at the GGA-PBE level.

Cell and atoms, written as POSCAR:
```
Pm4SiGe
1.0
5.008 0.000 0.000
0.000 5.008 0.000
0.000 0.000 7.087
Pm Si Ge
4 1 1
direct
0.000 0.500 0.247 Pm
0.000 0.500 0.753 Pm
0.500 0.000 0.247 Pm
0.500 0.000 0.753 Pm
0.000 0.000 0.000 Si
0.500 0.500 0.500 Ge
```

Magnetization   0.00 Bohr magnetons per cell
Energy   -5.34 eV per atom

No. 4
Below is an optimized crystal structure of Pm12SiGe6, with properties calculated at the GGA-PBE level.

Cell and atoms, written as POSCAR:
```
Pm12SiGe6
1.0
6.554 3.784 4.046
-6.554 3.784 4.046
0.000 -7.568 4.046
Pm Si Ge
12 1 6
direct
0.051 0.674 0.930 Pm
0.070 0.949 0.326 Pm
0.186 0.422 0.563 Pm
0.326 0.070 0.949 Pm
0.422 0.563 0.186 Pm
0.437 0.814 0.578 Pm
0.563 0.186 0.422 Pm
0.578 0.437 0.814 Pm
0.674 0.930 0.051 Pm
0.814 0.578 0.437 Pm
0.930 0.051 0.674 Pm
0.949 0.326 0.070 Pm
0.000 0.000 0.000 Si
0.128 0.613 0.304 Ge
0.304 0.128 0.613 Ge
0.387 0.696 0.872 Ge
0.613 0.304 0.128 Ge
0.696 0.872 0.387 Ge
0.872 0.387 0.696 Ge
```

Magnetization   0.00 Bohr magnetons per cell
Energy   -5.27 eV per atom